An optimized crystal structure of Ba2MgHg12, computed with GGA-PBE.

Unit cell a=7.042 b=7.042 c=17.878 alpha=90.00 beta=90.00 gamma=90.00
Fractional coordinates of all 30 atoms:
Ba: 0.250 0.750 0.244
Ba: 0.250 0.750 0.756
Ba: 0.750 0.250 0.244
Ba: 0.750 0.250 0.756
Mg: 0.250 0.750 0.000
Mg: 0.750 0.250 0.000
Hg: 0.002 0.502 0.086
Hg: 0.002 0.998 0.914
Hg: 0.091 0.591 0.432
Hg: 0.091 0.909 0.568
Hg: 0.250 0.250 0.184
Hg: 0.250 0.250 0.348
Hg: 0.250 0.250 0.652
Hg: 0.250 0.250 0.816
Hg: 0.409 0.591 0.568
Hg: 0.409 0.909 0.432
Hg: 0.498 0.502 0.914
Hg: 0.498 0.998 0.086
Hg: 0.502 0.002 0.914
Hg: 0.502 0.498 0.086
Hg: 0.591 0.091 0.568
Hg: 0.591 0.409 0.432
Hg: 0.750 0.750 0.184
Hg: 0.750 0.750 0.348
Hg: 0.750 0.750 0.652
Hg: 0.750 0.750 0.816
Hg: 0.909 0.091 0.432
Hg: 0.909 0.409 0.568
Hg: 0.998 0.002 0.086
Hg: 0.998 0.498 0.914

Properties
energy of formation	-0.235	eV per atom
total magnetization	0.00	μB/cell
final energy	-12.58	eV per formula unit

An optimized crystal structure of Ba3Mg6Hg5, computed with GGA-PBE.

Unit cell a=4.761 b=14.311 c=12.256 alpha=90.00 beta=90.00 gamma=90.00
Fractional coordinates of all 28 atoms:
Ba: 0.250 0.092 0.247
Ba: 0.250 0.408 0.247
Ba: 0.250 0.750 0.261
Ba: 0.750 0.250 0.739
Ba: 0.750 0.592 0.753
Ba: 0.750 0.908 0.753
Mg: 0.250 0.056 0.584
Mg: 0.250 0.250 0.491
Mg: 0.250 0.250 0.984
Mg: 0.250 0.444 0.584
Mg: 0.250 0.579 0.008
Mg: 0.250 0.921 0.008
Mg: 0.750 0.079 0.992
Mg: 0.750 0.421 0.992
Mg: 0.750 0.556 0.416
Mg: 0.750 0.750 0.016
Mg: 0.750 0.750 0.509
Mg: 0.750 0.944 0.416
Hg: 0.250 0.080 0.844
Hg: 0.250 0.420 0.844
Hg: 0.250 0.637 0.529
Hg: 0.250 0.750 0.877
Hg: 0.250 0.863 0.529
Hg: 0.750 0.137 0.471
Hg: 0.750 0.250 0.123
Hg: 0.750 0.363 0.471
Hg: 0.750 0.580 0.156
Hg: 0.750 0.920 0.156

Properties
energy of formation	-0.330	eV per atom
total magnetization	0.00	μB/cell
final energy	-21.47	eV per formula unit

An optimized crystal structure of BaMgHg4, computed with GGA-PBE.

Unit cell a=6.250 b=6.250 c=6.250 alpha=60.00 beta=60.00 gamma=60.00
Fractional coordinates of all 6 atoms:
Ba: 0.000 0.000 0.000
Mg: 0.250 0.250 0.250
Hg: 0.127 0.624 0.624
Hg: 0.624 0.127 0.624
Hg: 0.624 0.624 0.127
Hg: 0.624 0.624 0.624

Properties
energy of formation	-0.208	eV per atom
total magnetization	0.00	μB/cell
final energy	-5.97	eV per formula unit
E above lowest polymorph	97	meV per atom

An optimized crystal structure of BaMg2Hg, computed with GGA-PBE.

Unit cell a=4.330 b=4.950 c=6.340 alpha=90.00 beta=104.46 gamma=90.00
Fractional coordinates of all 4 atoms:
Ba: 0.000 0.000 0.000
Mg: 0.348 0.500 0.693
Mg: 0.652 0.500 0.307
Hg: 0.500 0.000 0.500

Properties
energy of formation	-0.131	eV per atom
total magnetization	0.00	μB/cell
final energy	-5.94	eV per formula unit

An optimized crystal structure of BaMg2Hg, computed with GGA-PBE.

Unit cell a=6.951 b=6.951 c=3.600 alpha=103.32 beta=103.32 gamma=122.79
Fractional coordinates of all 4 atoms:
Ba: 0.000 0.000 0.000
Mg: 0.000 0.500 0.500
Mg: 0.500 0.000 0.500
Hg: 0.500 0.500 0.000

Properties
energy of formation	0.006	eV per atom
total magnetization	0.00	μB/cell
final energy	-5.39	eV per formula unit

An optimized crystal structure of BaMg2Hg, computed with GGA-PBE.

Unit cell a=6.852 b=6.852 c=6.852 alpha=41.89 beta=41.89 gamma=41.89
Fractional coordinates of all 4 atoms:
Ba: 0.000 0.000 0.000
Mg: 0.199 0.199 0.199
Mg: 0.801 0.801 0.801
Hg: 0.500 0.500 0.500

Properties
energy of formation	-0.193	eV per atom
total magnetization	0.15	μB/cell
final energy	-6.19	eV per formula unit

An optimized crystal structure of Ba2Mg6Hg, computed with GGA-PBE.

Unit cell a=6.464 b=6.464 c=7.209 alpha=96.08 beta=96.08 gamma=65.96
Fractional coordinates of all 9 atoms:
Ba: 0.162 0.162 0.380
Ba: 0.838 0.838 0.620
Mg: 0.107 0.663 0.135
Mg: 0.337 0.893 0.865
Mg: 0.375 0.375 0.823
Mg: 0.625 0.625 0.177
Mg: 0.663 0.107 0.135
Mg: 0.893 0.337 0.865
Hg: 0.500 0.500 0.500

Properties
energy of formation	-0.110	eV per atom
total magnetization	0.00	μB/cell
final energy	-14.71	eV per formula unit

An optimized crystal structure of BaMgHg, computed with GGA-PBE.

Unit cell a=4.795 b=4.795 c=8.709 alpha=90.00 beta=90.00 gamma=90.00
Fractional coordinates of all 6 atoms:
Ba: 0.250 0.250 0.163
Ba: 0.750 0.750 0.837
Mg: 0.250 0.750 0.500
Mg: 0.750 0.250 0.500
Hg: 0.250 0.250 0.710
Hg: 0.750 0.750 0.290

Properties
energy of formation	-0.372	eV per atom
total magnetization	0.00	μB/cell
final energy	-4.93	eV per formula unit